1.
# YAg2W

YAg2W after structural relaxation (PBE-GGA, the Alexandria database).

- ρ (Mg/m³) = 10.3
- DOS(E_F) (states/eV/cell) = 13.03
- E above lowest polymorph (eV per atom) = 0.156
- calculated formation energy (eV/atom) = 0.512

Cell: 3.0275 3.0275 29.7375 Å, 90.00 90.00 120.00°
Space group R3m (No. 160, hexagonal axes)
Inequivalent atoms, fractional coordinates:
1 Y 0.0000 0.0000 0.0000 [3 per cell]
2 Ag 0.0000 0.0000 0.5021 [3 per cell]
3 Ag 0.0000 0.0000 0.7559 [3 per cell]
4 W 0.0000 0.0000 0.2466 [3 per cell]

2.
# Ni4GeSb

Ni4GeSb after structural relaxation (PBE-GGA, the Alexandria database).

- ρ (Mg/m³) = 8.7
- DOS(E_F) (states/eV/cell) = 18.86
- E above lowest polymorph (eV per atom) = 0.069
- raw formation energy (eV/atom) = -0.1383

Cell: 15.7234 5.1520 4.1888 Å, 90.00 105.39 90.00°
Space group C2/c (No. 15)
Inequivalent atoms, fractional coordinates:
1 Ni 0.0962 0.1557 0.3462 [8 per cell]
2 Ni 0.1684 0.3472 0.9181 [8 per cell]
3 Ge 0.2500 0.2500 0.5000 [4 per cell]
4 Sb 0.0000 0.2639 0.7500 [4 per cell]

3.
# MnIrPt2

MnIrPt2 after structural relaxation (PBE-GGA, the Alexandria database).

- ρ (Mg/m³) = 17.7
- DOS(E_F) (states/eV/cell) = 12.09
- calculated formation energy (eV/atom) = -0.096

Cell: 9.1211 2.8263 4.7245 Å, 90.00 100.83 90.00°
Space group C2/m (No. 12)
Inequivalent atoms, fractional coordinates:
1 Mn 0.0000 0.0000 0.0000 [2 per cell]
2 Ir 0.0000 0.5000 0.5000 [2 per cell]
3 Pt 0.2490 0.5000 0.2510 [4 per cell]

4.
# AlFe2W

AlFe2W after structural relaxation (PBE-GGA, the Alexandria database).

- ρ (Mg/m³) = 10.2
- DOS(E_F) (states/eV/cell) = 3.15
- calculated formation energy (eV/atom) = -0.030

Cell: 2.8998 2.8998 6.2715 Å, 90.00 90.00 90.00°
Space group P4mm (No. 99)
Inequivalent atoms, fractional coordinates:
1 Al 0.0000 0.0000 0.0000 [1 per cell]
2 Fe 0.0000 0.0000 0.4480 [1 per cell]
3 Fe 0.5000 0.5000 0.2353 [1 per cell]
4 W 0.5000 0.5000 0.7032 [1 per cell]

5.
# NaAl3Sn

NaAl3Sn after structural relaxation (PBE-GGA, the Alexandria database).

- ρ (Mg/m³) = 2.3
- DOS(E_F) (states/eV/cell) = 3.12
- E above lowest polymorph (eV per atom) = 0.000
- calculated formation energy (eV/atom) = 0.677

Cell: 5.4022 5.4022 5.4022 Å, 90.00 90.00 90.00°
Space group Pm-3m (No. 221)
Inequivalent atoms, fractional coordinates:
1 Na 0.0000 0.0000 0.0000 [1 per cell]
2 Al 0.0000 0.5000 0.5000 [3 per cell]
3 Sn 0.5000 0.5000 0.5000 [1 per cell]

6.
# LaBeAl

LaBeAl after structural relaxation (PBE-GGA, the Alexandria database).

- ρ (Mg/m³) = 4.6
- DOS(E_F) (states/eV/cell) = 4.10
- E above lowest polymorph (eV per atom) = 0.122
- calculated formation energy (eV/atom) = -0.075

Cell: 6.2506 4.6377 8.6950 Å, 90.00 90.00 90.00°
Space group Pnma (No. 62)
Inequivalent atoms, fractional coordinates:
1 La 0.1903 0.2500 0.0794 [4 per cell]
2 Be 0.1414 0.2500 0.4152 [4 per cell]
3 Al 0.0130 0.2500 0.7057 [4 per cell]